First-principles (PBE) data for an optimized crystal structure of BaCaCeGeO6, as listed in Alexandria via LeMat-Bulk.

abc: 8.290 8.290 8.290
angles: 90.00 90.00 90.00
Space group F-43m (No. 216)
Symmetry-distinct sites (fractional):
Ba: 0.000 0.000 0.000 x4
Ca: 0.000 0.000 0.500 x4
Ce: 0.250 0.250 0.250 x4
Ge: 0.250 0.250 0.750 x4
O: 0.017 0.250 0.750 x24

Computed properties:
**M_tot**: 0.00 μB/cell
**VASP energy**: -7.044 eV/atom
**Fermi-level density of states**: 0.000 states/eV/f.u.
**ΔE_f (raw)**: -2.622 eV per atom

First-principles (PBE) data for an optimized crystal structure of BaCaCeHfO6, as listed in Alexandria via LeMat-Bulk.

abc: 8.595 8.595 8.595
angles: 90.00 90.00 90.00
Space group F-43m (No. 216)
Symmetry-distinct sites (fractional):
Ba: 0.000 0.000 0.000 x4
Ca: 0.000 0.000 0.500 x4
Ce: 0.250 0.250 0.250 x4
Hf: 0.250 0.250 0.750 x4
O: 0.009 0.250 0.750 x24

Computed properties:
**M_tot**: 0.00 μB/cell
**VASP energy**: -8.093 eV/atom
**Fermi-level density of states**: 0.000 states/eV/f.u.
**ΔE_f (raw)**: -3.137 eV per atom

Q: The highest VASP energy belongs to which entry?
A: BaCaCeGeO6

Please write out number 1 again, unchanged.
First-principles (PBE) data for an optimized crystal structure of BaCaCeGeO6, as listed in Alexandria via LeMat-Bulk.

abc: 8.290 8.290 8.290
angles: 90.00 90.00 90.00
Space group F-43m (No. 216)
Symmetry-distinct sites (fractional):
Ba: 0.000 0.000 0.000 x4
Ca: 0.000 0.000 0.500 x4
Ce: 0.250 0.250 0.250 x4
Ge: 0.250 0.250 0.750 x4
O: 0.017 0.250 0.750 x24

Computed properties:
**M_tot**: 0.00 μB/cell
**VASP energy**: -7.044 eV/atom
**Fermi-level density of states**: 0.000 states/eV/f.u.
**ΔE_f (raw)**: -2.622 eV per atom